No. 1
{
  "formula": "CdAu2Se",
  "functional": "PBE",
  "state": "relaxed",
  "dos_at_fermi_per_ev_cell": 0.87,
  "magmom_total_mub_per_atom": 0.000,
  "formation_energy_uncorrected_ev_per_atom": 0.11,
  "relative_energy_kj_per_mol_atoms": 14.4,
  "lattice": [[3.1136, 0.0964, 0.0000], [-0.0981, 3.1135, 0.0000], [0.0000, 0.0000, 8.2085]],
  "species": ["Au", "Cd", "Au", "Se"],
  "fractional_positions": [[0.5000, 0.5000, 0.2501], [0.0000, 0.0000, 0.4847], [0.0000, 0.0000, 0.0125], [0.5000, 0.5000, 0.7527]]
}

---

No. 2
{
  "formula": "U3Ni6As5",
  "functional": "PBE",
  "state": "relaxed",
  "dos_at_fermi_per_ev_cell": 45.66,
  "ef_mev_per_atom": -549,
  "magmom_total_mub_per_atom": 0.383,
  "lattice": [[3.9607, 0.0000, 0.0000], [0.0000, 9.3693, 0.0000], [0.0000, 0.0000, 12.0263]],
  "species": ["As", "U", "As", "U", "Ni", "Ni", "U", "As", "As", "As", "Ni", "Ni", "As", "As", "Ni", "Ni", "U", "U", "Ni", "Ni", "As", "As", "As", "Ni", "Ni", "Ni", "U", "Ni"],
  "fractional_positions": [[0.0000, 0.8480, 0.0000], [0.5000, 0.7496, 0.5000], [0.5000, 0.4831, 0.3688], [0.5000, 0.7473, 0.8346], [0.5000, 0.3913, 0.1802], [0.5000, 0.3913, 0.8198], [0.0000, 0.2527, 0.3346], [0.0000, 0.8576, 0.6664], [0.5000, 0.1424, 0.8336], [0.5000, 0.1424, 0.1664], [0.5000, 0.5167, 0.0000], [0.0000, 0.6087, 0.6802], [0.5000, 0.1520, 0.5000], [0.0000, 0.5169, 0.8688], [0.0000, 0.9989, 0.1668], [0.5000, 0.0011, 0.6668], [0.0000, 0.2527, 0.6654], [0.0000, 0.2504, 0.0000], [0.0000, 0.9996, 0.5000], [0.0000, 0.4833, 0.5000], [0.0000, 0.8576, 0.3336], [0.0000, 0.5169, 0.1312], [0.5000, 0.4831, 0.6312], [0.0000, 0.6087, 0.3198], [0.0000, 0.9989, 0.8332], [0.5000, 0.0011, 0.3332], [0.5000, 0.7473, 0.1654], [0.5000, 0.0004, 0.0000]]
}